Record 1
First-principles (PBE) data for an optimized crystal structure of RbBe3Ir, as listed in the Alexandria database.

Cell: 4.5074 4.5074 4.5074 Å, 90.00 90.00 90.00°
Fractional positions:
Rb  0.0000  0.0000  0.0000
Be  0.0000  0.5000  0.5000
Be  0.5000  0.0000  0.5000
Be  0.5000  0.5000  0.0000
Ir  0.5000  0.5000  0.5000

Fermi-level density of states = 0.32 states/eV/atom
Calculated density = 5.525 g/cm3
E above lowest polymorph = 0.0000 eV per atom
Crystal system = cubic
ΔE_f = 0.294 eV per atom
Total energy = -19.54 eV per cell
SG = Pm-3m, No. 221

Record 2
First-principles (PBE) data for an optimized crystal structure of RbBeIrRh2, as listed in the Alexandria database.

Cell: 4.2774 4.2774 4.7544 Å, 90.00 90.00 90.00°
Fractional positions:
Rb  0.0000  0.0000  0.0000
Be  0.0000  0.0000  0.5000
Ir  0.5000  0.5000  0.0000
Rh  0.0000  0.5000  0.5000
Rh  0.5000  0.0000  0.5000

Fermi-level density of states = 1.29 states/eV/atom
Calculated density = 9.402 g/cm3
Crystal system = tetragonal
ΔE_f = 1.282 eV per atom
Total energy = -21.85 eV per cell
SG = P4/mmm, No. 123

Question: What is the formula in the first record?
Answer: RbBe3Ir

Question: What is the ΔE_f in the second record?
Answer: 1.282 eV per atom